No. 1
Entry from the Alexandria database: a relaxed Tb2MnCl crystal (PBE).

Cell and atoms, written as CIF:
```
data_Tb2MnCl
_chemical_formula_sum 'Tb2 Mn1 Cl1'
_cell_length_a 3.3408
_cell_length_b 3.3408
_cell_length_c 10.2962
_cell_angle_alpha 80.66
_cell_angle_beta 80.66
_cell_angle_gamma 60.00
_space_group_name_H-M_alt 'P 1'
_space_group_IT_number 1
_space_group_name_Hall 'P 1'
loop_
_atom_site_label
_atom_site_fract_x
_atom_site_fract_y
_atom_site_fract_z
_atom_site_occupancy
Tb1 0.0924 0.0924 0.7229 1
Tb2 0.9076 0.9076 0.2771 1
Mn1 0.0000 0.0000 0.0000 1
Cl1 0.5000 0.5000 0.5000 1
```

Output
VASP energy in eV/atom: -5.165
Total magnetization in Bohr magnetons per cell: 3.123
Formation energy (no corrections) in meV per atom: -96

=====

No. 2
Entry from the Alexandria database: a relaxed ScRuPt2O crystal (PBE).

Cell and atoms, written as CIF:
```
data_ScRuPt2O
_chemical_formula_sum 'Sc1 Ru1 Pt2 O1'
_cell_length_a 4.7019
_cell_length_b 5.0219
_cell_length_c 4.7019
_cell_angle_alpha 90.00
_cell_angle_beta 90.00
_cell_angle_gamma 90.00
_space_group_name_H-M_alt 'P 1'
_space_group_IT_number 1
_space_group_name_Hall 'P 1'
loop_
_atom_site_label
_atom_site_fract_x
_atom_site_fract_y
_atom_site_fract_z
_atom_site_occupancy
O1 0.5000 0.5000 0.5000 1
Pt1 0.0000 0.0000 0.5000 1
Pt2 0.5000 0.0000 0.0000 1
Ru1 0.0000 0.0000 0.0000 1
Sc1 0.0000 0.5000 0.0000 1
```

Output
VASP energy in eV/atom: -5.514
Energy above the most stable polymorph in this dataset in meV per atom: 1205
Total magnetization in Bohr magnetons per cell: 0.000
Formation energy (no corrections) in meV per atom: 1016

=====

No. 3
Entry from the Alexandria database: a relaxed BaTaW2 crystal (PBE).

Cell and atoms, written as CIF:
```
data_BaTaW2
_chemical_formula_sum 'Ba1 Ta1 W2'
_cell_length_a 7.7159
_cell_length_b 7.7159
_cell_length_c 7.7159
_cell_angle_alpha 155.03
_cell_angle_beta 146.14
_cell_angle_gamma 42.53
_space_group_name_H-M_alt 'P 1'
_space_group_IT_number 1
_space_group_name_Hall 'P 1'
loop_
_atom_site_label
_atom_site_fract_x
_atom_site_fract_y
_atom_site_fract_z
_atom_site_occupancy
Ba1 0.5489 0.5489 0.0000 1
W1 0.8958 0.8958 0.0000 1
W2 0.7680 0.2680 0.5000 1
Ta1 0.2873 0.7873 0.5000 1
```

Output
VASP energy in eV/atom: -8.926
ΔE_f in kJ/mol of formula units: 384
Energy above the most stable polymorph in this dataset in meV per atom: 242
Total magnetization in Bohr magnetons per cell: 0.000